Record 1
Compound: SmPbO
Source: Alexandria
Functional: PBE-GGA
Structure: optimized geometry

Cell and atoms, written as extended XYZ:
```
3
Lattice="-1.656 1.656 6.655 1.656 -1.656 6.655 1.656 1.656 -6.655" Properties=species:S:1:pos:R:3 pbc="T T T"
Sm 0.000 0.000 0.000
Pb 0.000 0.000 3.645
O 0.000 0.000 6.953
```

- ΔE_f (raw) (kJ/mol of formula units) = -493
- mass density (kg/m³) = 8502

Record 2
Compound: UHS
Source: Alexandria
Functional: PBE-GGA
Structure: optimized geometry

Cell and atoms, written as extended XYZ:
```
6
Lattice="2.700 -5.079 0.000 2.700 5.079 0.000 0.000 0.000 4.535" Properties=species:S:1:pos:R:3 pbc="T T T"
U 2.700 3.313 3.401
U 2.700 -3.313 1.134
H 0.000 0.000 0.000
H 0.000 0.000 2.267
S 2.700 1.768 1.134
S 2.700 -1.768 3.401
```

- energy (eV per atom) = -6.8473
- mass density (kg/m³) = 7238